Record 1
ScPaSn2 after structural relaxation. Source: Alexandria, functional PBE.

Calculated values
The value obtained for the energy above the most stable polymorph in this dataset is 0.0873 eV/atom. The value obtained for the electronic total energy is -0.457 Ry per atom.

```
data_ScPaSn2
_chemical_formula_sum 'Sc4 Pa4 Sn8'
_cell_length_a 7.358
_cell_length_b 7.358
_cell_length_c 7.358
_cell_angle_alpha 90.00
_cell_angle_beta 90.00
_cell_angle_gamma 90.00
_symmetry_space_group_name_H-M 'F m -3 m'
_symmetry_Int_Tables_number 225
_symmetry_space_group_name_Hall '-F 4 2 3'
loop_
_atom_site_label
_atom_site_fract_x
_atom_site_fract_y
_atom_site_fract_z
Sc1 0.000 0.000 0.000
Pa1 0.000 0.000 0.500
Sn1 0.250 0.250 0.250
```

Record 2
NbW7 after structural relaxation. Source: Alexandria, functional PBE.

Calculated values
The value obtained for the electronic total energy is -0.929 Ry per atom.

```
data_NbW7
_chemical_formula_sum 'Nb6 W42'
_cell_length_a 9.0493
_cell_length_b 9.0493
_cell_length_c 11.0756
_cell_angle_alpha 90.00
_cell_angle_beta 90.00
_cell_angle_gamma 120.00
_symmetry_space_group_name_H-M 'R -3 m'
_symmetry_Int_Tables_number 166
_symmetry_space_group_name_Hall '-R 3 2"'
loop_
_atom_site_label
_atom_site_fract_x
_atom_site_fract_y
_atom_site_fract_z
Nb1 0.0000 0.0000 0.1257
W1 0.0000 0.0000 0.3759
W2 0.0013 0.5007 0.1247
W3 0.0014 0.5007 0.3747
```

Record 3
PrHoCdGa after structural relaxation. Source: Alexandria, functional PBE.

Calculated values
The value obtained for the energy above the most stable polymorph in this dataset is 0.0000 eV/atom. The value obtained for the electronic total energy is -0.277 Ry per atom.

```
data_PrHoCdGa
_chemical_formula_sum 'Pr1 Ho1 Cd1 Ga1'
_cell_length_a 3.663
_cell_length_b 3.663
_cell_length_c 7.685
_cell_angle_alpha 90.00
_cell_angle_beta 90.00
_cell_angle_gamma 90.00
_symmetry_space_group_name_H-M 'P 4 m m'
_symmetry_Int_Tables_number 99
_symmetry_space_group_name_Hall 'P 4 -2'
loop_
_atom_site_label
_atom_site_fract_x
_atom_site_fract_y
_atom_site_fract_z
Pr1 0.000 0.000 0.000
Ho1 0.000 0.000 0.467
Cd1 0.500 0.500 0.713
Ga1 0.500 0.500 0.250
```